The following is a DFT calculation (GGA-PBEsol) of crystalline SiAs5 at its relaxed geometry.

Summary:
**Electronic total energy**: -4.5685 eV/atom
**DOS(E_F)**: 3.6 states/eV/f.u.
**Symmetry**: No. 191

Unit cell a=5.0867 b=5.2280 c=5.2280 alpha=120.00 beta=90.00 gamma=90.00
Fractional positions:
As: 0.5000 0.5000 0.5000
As: 0.0000 0.6667 0.3333
As: 0.5000 0.0000 0.5000
As: 0.0000 0.3333 0.6667
As: 0.5000 0.5000 0.0000
Si: 0.0000 0.0000 0.0000

---

The following is a DFT calculation (GGA-PBEsol) of crystalline SiAs at its relaxed geometry.

Summary:
**Electronic total energy**: -5.0203 eV/atom
**DOS(E_F)**: 0.9 states/eV/f.u.
**Symmetry**: No. 74

Unit cell a=2.8303 b=4.7881 c=5.6420 alpha=115.11 beta=104.53 gamma=90.00
Fractional positions:
As: 0.1092 0.8592 0.2183
As: 0.8908 0.1408 0.7817
Si: 0.3618 0.6118 0.7236
Si: 0.6382 0.3882 0.2764